--- i ---
{"formula": "Mn2TeAs", "functional": "GGA-PBE", "state": "relaxed", "lattice": [[3.8424, 0.0026, -0.0016], [1.9264, 3.3247, -0.0016], [1.9260, 1.1109, 6.2301]], "species": ["As", "Mn", "Mn", "Te"], "fractional_positions": [[0.7500, 0.7500, 0.7500], [0.0122, 0.0122, 0.9629], [0.4878, 0.4878, 0.5371], [0.2500, 0.2500, 0.2500]], "space_group": "No. 12"}

=====

--- ii ---
{"formula": "Mn2TeAs", "functional": "GGA-PBE", "state": "relaxed", "lattice": [[0.0000, 3.0741, 3.0741], [3.0741, 0.0000, 3.0741], [3.0741, 3.0741, 0.0000]], "species": ["As", "Te", "Mn", "Mn"], "fractional_positions": [[0.0000, 0.0000, 0.0000], [0.5000, 0.5000, 0.5000], [0.2500, 0.2500, 0.2500], [0.7500, 0.7500, 0.7500]], "space_group": "No. 225"}

=====

Stability check: which of them is most stable? i.